Record 1
DFT (GGA-PBE) results for an optimized crystal structure of LiSc2Mn.

## Properties
As for the formation energy: 0.1406 eV per atom. For the total energy, the calculation gives -5.80 eV per atom.

Cell: 4.769 4.769 3.283 Å, 90.00 90.00 90.00°
Site moments in Bohr magnetons follow the coordinates.
Fractional coordinates of all 4 atoms:
Li 0.500 0.000 0.500  -0.03
Mn 0.000 0.500 0.500  2.96
Sc 0.000 0.000 0.000  -0.23
Sc 0.500 0.500 0.000  -0.23

---

Record 2
DFT (GGA-PBE) results for an optimized crystal structure of TmAg2Sb.

## Properties
The formation energy without anion corrections is -396 meV per atom. For the total energy, the calculation gives -3.97 eV per atom.

Cell: 4.865 4.269 4.269 Å, 90.00 90.00 90.00°
Fractional coordinates of all 4 atoms:
Sb 0.500 0.500 0.500
Tm 0.500 0.000 0.000
Ag 0.000 0.000 0.500
Ag 0.000 0.500 0.000

---

Record 3
DFT (GGA-PBE) results for an optimized crystal structure of GaTeOsBr2.

## Properties
The formation energy without anion corrections is 616 meV per atom. For the total energy, the calculation gives -3.53 eV per atom.

Cell: 4.941 5.198 4.941 Å, 90.00 90.00 90.00°
Fractional coordinates of all 5 atoms:
Te 0.500 0.500 0.500
Os 0.000 0.000 0.000
Ga 0.000 0.500 0.000
Br 0.000 0.000 0.500
Br 0.500 0.000 0.000

---

Record 4
DFT (GGA-PBE) results for an optimized crystal structure of Sm5CdSb4.

## Properties
The formation energy without anion corrections is -928 meV per atom. For the total energy, the calculation gives -5.03 eV per atom.

Cell: 6.312 7.745 7.745 Å, 80.44 65.95 65.95°
Fractional coordinates of all 10 atoms:
Sm 0.895 0.417 0.794
Sm 0.312 0.794 0.583
Sm 0.689 0.206 0.417
Sm 0.107 0.583 0.206
Sm 0.501 0.000 0.000
Cd 0.002 0.000 0.000
Sb 0.399 0.400 0.804
Sb 0.799 0.804 0.600
Sb 0.203 0.196 0.400
Sb 0.603 0.600 0.196

---

Record 5
DFT (GGA-PBE) results for an optimized crystal structure of P2OsSCl.

## Properties
The formation energy without anion corrections is 1595 meV per atom. For the total energy, the calculation gives -4.01 eV per atom. The value obtained for the excess energy over the best structure of this formula in the dataset is 476 kJ/mol of formula units.

Cell: 4.519 4.519 4.248 Å, 90.00 90.00 90.00°
Site moments in Bohr magnetons follow the coordinates.
Fractional coordinates of all 5 atoms:
P 0.000 0.500 0.000  -0.05
P 0.500 0.000 0.000  -0.05
S 0.000 0.000 0.000  0.01
Os 0.500 0.500 0.500  1.50
Cl 0.000 0.000 0.500  0.09

---

Record 6
DFT (GGA-PBE) results for an optimized crystal structure of ScBe3.

## Properties
As for the formation energy: 0.1925 eV per atom. For the total energy, the calculation gives -4.18 eV per atom. The value obtained for the excess energy over the best structure of this formula in the dataset is 126 kJ/mol of formula units.

Cell: 5.348 5.348 8.137 Å, 90.00 90.00 120.00°
Fractional coordinates of all 16 atoms:
Sc 0.000 0.000 0.000
Sc 0.000 0.000 0.500
Sc 0.333 0.667 0.250
Sc 0.667 0.333 0.750
Be 0.500 0.000 0.000
Be 0.500 0.000 0.500
Be 0.000 0.500 0.000
Be 0.500 0.500 0.000
Be 0.500 0.500 0.500
Be 0.000 0.500 0.500
Be 0.808 0.617 0.250
Be 0.192 0.383 0.750
Be 0.383 0.192 0.250
Be 0.808 0.192 0.250
Be 0.192 0.808 0.750
Be 0.617 0.808 0.750

---

Record 7
DFT (GGA-PBE) results for an optimized crystal structure of TaCd2Te.

## Properties
The formation energy without anion corrections is 468 meV per atom. For the total energy, the calculation gives -3.74 eV per atom.

Cell: 3.035 4.452 6.775 Å, 90.00 90.00 90.00°
Fractional coordinates of all 4 atoms:
Cd 0.000 0.000 0.036
Cd 0.000 0.000 0.464
Te 0.500 0.500 0.750
Ta 0.500 0.500 0.250

---

Repeat the fifth record exactly.
DFT (GGA-PBE) results for an optimized crystal structure of P2OsSCl.

## Properties
The formation energy without anion corrections is 1595 meV per atom. For the total energy, the calculation gives -4.01 eV per atom. The value obtained for the excess energy over the best structure of this formula in the dataset is 476 kJ/mol of formula units.

Cell: 4.519 4.519 4.248 Å, 90.00 90.00 90.00°
Site moments in Bohr magnetons follow the coordinates.
Fractional coordinates of all 5 atoms:
P 0.000 0.500 0.000  -0.05
P 0.500 0.000 0.000  -0.05
S 0.000 0.000 0.000  0.01
Os 0.500 0.500 0.500  1.50
Cl 0.000 0.000 0.500  0.09